4
Lattice="2.4254 0.0000 0.0000 0.0000 2.4254 0.0000 0.0000 0.0000 7.2800" Properties=species:S:1:pos:R:3 comment="MnBeCr2 | Alexandria via LeMat-Bulk | PBE-GGA | optimized geometry" total_magnetization_mub_per_cell=1.751 final_energy_ev_per_atom=-7.90 pbc="T T T"
Cr 0.0000 0.0000 7.0851
Cr 1.2127 1.2127 1.8845
Be 1.2127 1.2127 5.4056
Mn 0.0000 0.0000 3.8248

---

4
Lattice="-1.0860 -3.1492 4.0265 -3.5600 -3.7886 -0.5321 1.5058 -5.0029 -0.1155" Properties=species:S:1:pos:R:3 comment="CdBiCl2 | Alexandria via LeMat-Bulk | PBE-GGA | optimized geometry" formation_energy_uncorrected_ev_per_atom=-0.14 total_magnetization_mub_per_cell=0.000 de_polymorph_mev_per_atom=421 final_energy_ev_per_atom=-2.26 pbc="T T T"
Bi -1.5701 -5.9704 1.6895
Cl -0.7851 -2.9852 0.8447
Cl -2.3552 -8.9556 2.5342
Cd 0.0000 0.0000 0.0000

---

12
Lattice="4.7997 0.0000 0.0000 2.3999 4.1566 0.0000 2.3998 1.3855 9.0745" Properties=species:S:1:pos:R:3 comment="KGeB2F8 | Alexandria via LeMat-Bulk | PBE-GGA | optimized geometry" formation_energy_uncorrected_ev_per_atom=-2.53 total_magnetization_mub_per_cell=1.010 final_energy_ev_per_atom=-5.37 pbc="T T T"
F 5.8565 4.1877 7.0617
F 5.4981 1.1475 7.0617
F 7.1995 4.1566 5.1880
F 2.3998 1.3855 3.8865
F 6.5549 2.5641 2.0128
F 3.7429 1.3545 2.0128
F 3.0445 2.9780 7.0617
F 4.1013 4.3946 2.0128
Ge 0.0000 0.0000 0.0000
B 7.1995 4.1566 6.6172
B 2.3998 1.3855 2.4573
K 4.7997 2.7711 4.5373

---

6
Lattice="0.0000 3.9500 3.9500 3.9500 0.0000 3.9500 3.9500 3.9500 0.0000" Properties=species:S:1:pos:R:3 comment="Cd4SiW | Alexandria via LeMat-Bulk | PBE-GGA | optimized geometry" formation_energy_uncorrected_ev_per_atom=0.92 total_magnetization_mub_per_cell=2.544 final_energy_ev_per_atom=-2.75 pbc="T T T"
Si 5.9251 5.9251 5.9251
Cd 4.9401 2.9599 4.9401
Cd 2.9599 2.9599 2.9599
Cd 2.9599 4.9401 4.9401
Cd 4.9401 4.9401 2.9599
W 0.0000 0.0000 0.0000

---

5
Lattice="-2.5069 3.1696 -2.5353 -3.7637 -2.9308 0.0574 -5.1005 2.7453 3.9871" Properties=species:S:1:pos:R:3 comment="Ca2CdGa2 | Alexandria via LeMat-Bulk | PBE-GGA | optimized geometry" total_magnetization_mub_per_cell=0.000 final_energy_ev_per_atom=-2.24 pbc="T T T"
Cd 0.0000 0.0000 0.0000
Ca -5.9997 -0.0331 1.4027
Ca -5.3713 3.0172 0.1064
Ga -3.5109 0.6213 -0.2400
Ga -7.8601 2.3628 1.7491

---

12
Lattice="5.8344 0.0000 2.6655 2.3083 5.3583 2.6655 -1.0747 -0.7072 10.0703" Properties=species:S:1:pos:R:3 comment="Li2AcMg3 | Alexandria via LeMat-Bulk | PBE-GGA | optimized geometry" total_magnetization_mub_per_cell=0.000 de_polymorph_mev_per_atom=87 final_energy_ev_per_atom=-2.04 pbc="T T T"
Li 4.0713 2.6792 2.6655
Li 0.0000 0.0000 0.0000
Li 2.9172 0.0000 1.3328
Li 1.1541 2.6792 1.3328
Mg 4.6696 1.1725 5.2149
Mg 1.2557 0.8264 8.8670
Mg 4.1437 0.8264 10.1864
Mg 2.3983 3.4786 10.1864
Mg 5.8122 3.8248 6.5343
Mg 2.9243 3.8248 5.2149
Ac 5.9096 3.8889 10.2187
Ac 1.1583 0.7622 5.1826

---

16
Lattice="-1.0254 3.9188 -0.8739 -3.8017 -1.2377 -1.0896 -5.1462 2.1203 15.5471" Properties=species:S:1:pos:R:3 comment="ThPd12Pb3 | Alexandria via LeMat-Bulk | PBE-GGA | optimized geometry" total_magnetization_mub_per_cell=0.000 final_energy_ev_per_atom=-5.51 pbc="T T T"
Pd -2.4135 1.3405 -0.9817
Pd -6.2587 2.9248 10.6350
Pd -5.1096 0.7032 9.1491
Pd -1.1650 2.2281 1.5336
Pd -3.7145 1.8766 2.9487
Pd -2.4502 2.7577 5.4163
Pd -2.5531 -0.3501 1.4258
Pd -3.8383 0.1794 5.3085
Pd -6.3948 1.2327 13.0318
Pd -4.9866 2.4007 6.7918
Pd -3.7214 3.2814 9.2569
Pd -5.0066 3.8110 13.1396
Th 0.0000 0.0000 0.0000
Pb -2.5731 1.0602 7.7736
Pb -3.8388 1.5816 11.5972
Pb -1.3074 0.5387 3.9499

---

8
Lattice="4.1200 0.0000 0.0000 0.0000 4.1200 0.0000 2.0600 2.0600 8.0985" Properties=species:S:1:pos:R:3 comment="ScBe2Au | Alexandria via LeMat-Bulk | PBE-GGA | optimized geometry" total_magnetization_mub_per_cell=0.000 de_polymorph_mev_per_atom=324 final_energy_ev_per_atom=-4.24 pbc="T T T"
Be 4.1194 1.0300 2.0246
Be 5.1500 2.0594 6.0739
Be 4.1205 3.0900 2.0246
Be 3.0900 2.0606 6.0739
Au 0.0000 0.0000 0.0000
Au 4.1200 2.0600 4.0493
Sc 2.0600 2.0600 0.0000
Sc 2.0600 4.1200 4.0493

---

5
Lattice="4.8436 0.0000 0.0000 0.0000 4.8436 0.0000 0.0000 0.0000 5.3747" Properties=species:S:1:pos:R:3 comment="SrFeSe2Br | Alexandria via LeMat-Bulk | PBE-GGA | optimized geometry" formation_energy_uncorrected_ev_per_atom=-0.82 total_magnetization_mub_per_cell=3.488 de_polymorph_mev_per_atom=0 final_energy_ev_per_atom=-4.57 pbc="T T T"
Br 0.0000 0.0000 2.6873
Fe 0.0000 0.0000 0.0000
Sr 2.4218 2.4218 2.6873
Se 2.4218 0.0000 0.0000
Se 0.0000 2.4218 0.0000

---

5
Lattice="-0.6042 -1.4248 -3.5649 3.3149 -2.0140 0.2431 -1.9365 -3.0029 1.5284" Properties=species:S:1:pos:R:3 comment="AsSeO3 | Alexandria via LeMat-Bulk | PBE-GGA | optimized geometry" formation_energy_uncorrected_ev_per_atom=-0.05 total_magnetization_mub_per_cell=0.000 final_energy_ev_per_atom=-4.66 pbc="T T T"
O -1.2704 -2.2138 -1.0183
O 0.6892 -2.5084 0.8857
O 1.3553 -1.7194 -1.6609
As 0.3871 -3.2208 -0.8967
Se 0.0000 0.0000 0.0000

---

5
Lattice="4.9585 0.0000 0.0000 0.0000 4.9585 0.0000 0.0000 0.0000 4.9585" Properties=species:S:1:pos:R:3 comment="IrPtAu3 | Alexandria via LeMat-Bulk | PBE-GGA | optimized geometry" total_magnetization_mub_per_cell=0.000 de_polymorph_mev_per_atom=0 final_energy_ev_per_atom=-3.45 pbc="T T T"
Au 2.4792 0.0000 0.0000
Au 0.0000 0.0000 2.4792
Au 0.0000 2.4792 0.0000
Pt 2.4792 2.4792 2.4792
Ir 0.0000 0.0000 0.0000

---

10
Lattice="-2.2583 -2.0561 -3.0911 -3.0465 -1.0412 2.9183 -7.2363 12.5655 -3.0712" Properties=species:S:1:pos:R:3 comment="Pu2SnBiRh | Alexandria via LeMat-Bulk | PBE-GGA | optimized geometry" total_magnetization_mub_per_cell=0.382 final_energy_ev_per_atom=-8.70 pbc="T T T"
Bi -3.1017 2.2203 0.7893
Bi -6.7870 8.7966 -3.9468
Pu -8.3055 11.4334 -4.5913
Pu -1.5832 -0.4165 1.4337
Pu -2.2650 0.9442 -2.0276
Pu -7.6238 10.0726 -1.1300
Sn -3.6181 6.2827 -1.5356
Sn -6.2706 4.7341 -1.6220
Rh -4.4076 4.4878 0.2350
Rh -5.4812 6.5290 -3.3926

---

15
Lattice="-6.3022 -0.7034 6.6329 1.5737 -5.3690 7.2736 1.1739 3.0509 7.7867" Properties=species:S:1:pos:R:3 comment="Sm8ScTl6 | Alexandria via LeMat-Bulk | PBE-GGA | optimized geometry" total_magnetization_mub_per_cell=0.002 final_energy_ev_per_atom=-4.03 pbc="T T T"
Tl -5.3116 -1.5201 9.5234
Tl -1.3347 1.9251 9.3494
Tl -2.2199 -4.9466 12.3437
Tl -3.0956 -0.0498 14.0668
Tl 1.7570 -1.5015 12.1698
Tl -0.4589 -2.9718 7.6263
Sm 0.8030 -0.4485 9.1935
Sm -0.4192 0.9955 12.4027
Sm -2.7269 -0.5913 7.8849
Sm 0.3642 -3.9300 10.5644
Sm -3.9188 0.9085 11.1287
Sm -3.1354 -4.0170 9.2904
Sm -4.3575 -2.5730 12.4996
Sm -0.8277 -2.4302 13.8082
Sc 0.0000 0.0000 0.0000

---

5
Lattice="6.5914 0.0000 0.0000 0.0000 6.5914 0.0000 0.0000 0.0000 6.5914" Properties=species:S:1:pos:R:3 comment="K3TeI | Alexandria via LeMat-Bulk | PBE-GGA | optimized geometry" formation_energy_uncorrected_ev_per_atom=-1.05 total_magnetization_mub_per_cell=0.000 de_polymorph_mev_per_atom=89 final_energy_ev_per_atom=-2.65 pbc="T T T"
K 3.2957 0.0000 0.0000
K 0.0000 3.2957 0.0000
K 0.0000 0.0000 3.2957
I 3.2957 3.2957 3.2957
Te 0.0000 0.0000 0.0000

---

5
Lattice="-0.4151 -3.1752 2.6010 1.2026 -2.5936 -2.9743 5.2449 0.6133 1.5858" Properties=species:S:1:pos:R:3 comment="SnSbSeN2 | Alexandria via LeMat-Bulk | PBE-GGA | optimized geometry" formation_energy_uncorrected_ev_per_atom=0.96 total_magnetization_mub_per_cell=0.542 de_polymorph_mev_per_atom=0 final_energy_ev_per_atom=-4.69 pbc="T T T"
N 0.6013 -1.2968 -1.4871
N -0.2076 -1.5876 1.3005
Sb 0.0000 0.0000 0.0000
Se 2.6224 0.3067 0.7929
Sn 3.0162 -2.5777 0.6062

---

5
Lattice="-3.4350 -1.7509 -2.4757 -0.8646 -3.0200 3.3355 -2.3124 2.3613 1.5385" Properties=species:S:1:pos:R:3 comment="Sc2MnAgH | Alexandria via LeMat-Bulk | PBE-GGA | optimized geometry" total_magnetization_mub_per_cell=2.294 final_energy_ev_per_atom=-5.78 pbc="T T T"
Ag -3.3060 -1.2048 1.1992
H 0.0000 0.0000 0.0000
Sc -1.7175 -0.8754 -1.2378
Sc -0.4323 -1.5100 1.6677
Mn -1.1562 1.1806 0.7692

---

11
Lattice="3.6591 0.0000 0.0000 0.0000 6.8009 0.7781 -1.8296 -0.4986 12.5003" Properties=species:S:1:pos:R:3 comment="Pr2Y5Pd4 | Alexandria via LeMat-Bulk | PBE-GGA | optimized geometry" total_magnetization_mub_per_cell=0.000 final_energy_ev_per_atom=-6.08 pbc="T T T"
Pd 0.0000 4.6333 1.1679
Pd 0.0000 3.0417 8.5560
Pd 1.8296 3.2606 4.7224
Pd 1.8296 1.6690 12.1105
Pr 0.0000 2.0766 2.5879
Pr 1.8296 4.2258 10.6905
Y 0.0000 1.4529 6.1379
Y 1.8296 0.0000 0.0000
Y 0.0000 5.3861 3.9504
Y 1.8296 4.8494 7.1405
Y 1.8296 0.9162 9.3280

---

16
Lattice="4.2274 0.0000 0.0000 -2.1137 7.8554 0.0000 0.0000 0.0000 8.8037" Properties=species:S:1:pos:R:3 comment="Tm2Zn5Ge | Alexandria via LeMat-Bulk | PBE-GGA | optimized geometry" total_magnetization_mub_per_cell=0.000 final_energy_ev_per_atom=-2.92 pbc="T T T"
Tm 0.0000 3.0925 2.2009
Tm 0.0000 0.0000 0.0000
Tm 0.0000 0.0000 4.4018
Tm 2.1137 4.7628 6.6028
Zn 2.1137 4.8835 3.4640
Zn 0.0000 2.9719 5.3397
Zn 0.0000 2.9719 7.8658
Zn 2.1137 4.8835 0.9379
Zn 0.0000 5.5122 4.6255
Zn 0.0000 6.2031 2.2009
Zn 2.1137 2.3432 4.1782
Zn 2.1137 2.3432 0.2236
Zn 2.1137 1.6522 6.6028
Zn 0.0000 5.5122 8.5800
Ge 0.0000 7.0549 6.6028
Ge 2.1137 0.8005 2.2009

---

4
Lattice="-5.2147 -1.2887 0.0965 -1.9657 -2.9416 4.0431 -3.2580 2.2565 3.6273" Properties=species:S:1:pos:R:3 comment="PuHfTh2 | Alexandria via LeMat-Bulk | PBE-GGA | optimized geometry" total_magnetization_mub_per_cell=5.555 de_polymorph_mev_per_atom=3 final_energy_ev_per_atom=-9.65 pbc="T T T"
Th -7.8288 -1.4804 5.8251
Th -2.6096 -0.4935 1.9417
Hf -5.2192 -0.9869 3.8834
Pu 0.0000 0.0000 0.0000

---

4
Lattice="6.2546 -0.6518 0.4483 0.8678 6.2283 -0.4483 -1.8794 -4.9363 3.4419" Properties=species:S:1:pos:R:3 comment="PPtBr2 | Alexandria via LeMat-Bulk | PBE-GGA | optimized geometry" formation_energy_uncorrected_ev_per_atom=0.07 total_magnetization_mub_per_cell=0.000 final_energy_ev_per_atom=-3.63 pbc="T T T"
Br 3.5403 -1.7350 1.9451
Br 0.5316 0.4162 0.0000
Pt 1.5518 2.2570 1.4968
P 3.1806 2.4903 0.0000